# 1
RbZrTlCl6 after structural relaxation, computed with PBE.

Results
Magnetic moment (μB per atom): 0.000
Energy relative to the elements, uncorrected (eV/atom): -1.70
N(E_F) (states/eV/cell): 0.000
Calculated total energy (eV per cell): -76.6

abc: 7.8057 7.8057 11.9852
angles: 90.00 90.00 120.00
Atoms (fractional coordinates):
Rb 0.3333 0.6667 0.2500
Rb 0.6667 0.3333 0.7500
Zr 0.3333 0.6667 0.7500
Zr 0.6667 0.3333 0.2500
Tl 0.0000 0.0000 0.0000
Tl 0.0000 0.0000 0.5000
Cl 0.0756 0.4019 0.6296
Cl 0.0756 0.6737 0.8704
Cl 0.3263 0.4019 0.8704
Cl 0.3263 0.9244 0.6296
Cl 0.4019 0.0756 0.1296
Cl 0.4019 0.3263 0.3704
Cl 0.5981 0.6737 0.6296
Cl 0.5981 0.9244 0.8704
Cl 0.6737 0.0756 0.3704
Cl 0.6737 0.5981 0.1296
Cl 0.9244 0.3263 0.1296
Cl 0.9244 0.5981 0.3704

=====

# 2
CdNiSe after structural relaxation, computed with PBE.

Results
Excess energy over the best structure of this formula in the dataset (meV/atom): 123
Magnetic moment (μB per atom): 0.000
Energy relative to the elements, uncorrected (eV/atom): 0.05
N(E_F) (states/eV/cell): 4.572
Calculated total energy (eV per cell): -20.1

abc: 11.8879 3.3037 3.3037
angles: 59.98 90.00 90.00
Atoms (fractional coordinates):
Cd 0.1571 0.0000 0.0000
Cd 0.8429 0.0000 0.0000
Ni 0.0000 0.6662 0.6662
Ni 0.5000 0.6925 0.6925
Se 0.3736 0.3607 0.3607
Se 0.6264 0.3607 0.3607

=====

# 3
NdDy4Y3 after structural relaxation, computed with PBE.

Results
Excess energy over the best structure of this formula in the dataset (meV/atom): 0
Magnetic moment (μB per atom): 0.000
N(E_F) (states/eV/cell): 27.103
DFT formation energy (meV per atom): 9
Calculated total energy (eV per cell): -85.0

abc: 11.3381 7.3088 6.3081
angles: 90.00 90.00 90.00
Atoms (fractional coordinates):
Nd 0.0000 0.1275 0.0000
Nd 0.5000 0.8725 0.5000
Dy 0.0000 0.3772 0.5048
Dy 0.0000 0.6234 0.0036
Dy 0.2488 0.6232 0.3354
Dy 0.2512 0.3768 0.8354
Dy 0.5000 0.3766 0.5036
Dy 0.5000 0.6228 0.0048
Dy 0.7488 0.3768 0.8354
Dy 0.7512 0.6232 0.3354
Y 0.0000 0.8736 0.5003
Y 0.2501 0.1268 0.3363
Y 0.2499 0.8732 0.8363
Y 0.5000 0.1264 0.0003
Y 0.7499 0.1268 0.3363
Y 0.7501 0.8732 0.8363

=====

# 4
BaNaSe2N after structural relaxation, computed with PBE.

Results
Excess energy over the best structure of this formula in the dataset (meV/atom): 295
Magnetic moment (μB per atom): 0.787
Energy relative to the elements, uncorrected (eV/atom): 0.34
N(E_F) (states/eV/cell): 5.738
Calculated total energy (eV per cell): -16.8

abc: 6.2420 6.2420 5.3079
angles: 90.00 90.00 90.00
Atoms (fractional coordinates):
Ba 0.0000 0.0000 0.0000
Na 0.5000 0.5000 0.5000
Se 0.0000 0.5000 0.0000
Se 0.5000 0.0000 0.0000
N 0.0000 0.0000 0.5000